[1]
Here is a relaxed structure of KZrMo4 from the Alexandria database. Energies are from PBE.

Volume, Å³/cell: 466
E_form, eV/atom: 0.82
Uncorrected energy, eV per atom: -8.013

abc: 7.753 7.753 7.753
angles: 90.00 90.00 90.00
Space group F-43m (No. 216)
Asymmetric unit:
1 K 0.000 0.000 0.000 x4
2 Zr 0.250 0.250 0.250 x4
3 Mo 0.125 0.125 0.625 x16

[2]
Here is a relaxed structure of K3N from the Alexandria database. Energies are from PBE.

Volume, Å³/cell: 376
Formation energy without anion corrections, eV per atom: 0.45
Uncorrected energy, eV per atom: -2.450

abc: 7.7259 7.7259 7.2726
angles: 90.00 90.00 120.00
Space group P6_3/mcm (No. 193)
Asymmetric unit:
1 K 0.0000 0.2651 0.2500 x6
2 N 0.0000 0.0000 0.0000 x2